(1)
Y2ZrNi2 GGA-PBE optimized geometry; symmetry = I4/mmm, No. 139; total moment = 1.647 μB/cell; distance to the lowest polymorph of the same formula = 284 meV/atom
1.0
-2.042 2.042 6.202
2.042 -2.042 6.202
2.042 2.042 -6.202
Y Zr Ni
2 1 2
Cartesian
0.000 0.000 1.478
0.000 0.000 10.926
0.000 0.000 6.202
2.042 0.000 3.101
0.000 2.042 3.101

(2)
Y2ZrNi2 GGA-PBE optimized geometry; symmetry = I4/mmm, No. 139; total moment = 0.032 μB/cell; distance to the lowest polymorph of the same formula = 0 meV/atom
1.0
-2.248 2.248 5.311
2.248 -2.248 5.311
2.248 2.248 -5.311
Y Zr Ni
2 1 2
Cartesian
2.248 0.000 2.656
0.000 2.248 2.656
0.000 0.000 0.000
0.000 0.000 4.218
0.000 0.000 6.405

(3)
ZnNi GGA-PBE optimized geometry; symmetry = Pmmn, No. 59; total moment = 0.011 μB/cell
1.0
4.185 0.000 0.000
0.000 10.357 0.000
0.000 0.000 4.472
Zn Ni
8 8
Cartesian
1.046 1.121 0.700
1.046 2.589 3.035
1.046 4.058 0.700
1.046 7.768 2.996
3.139 2.589 1.476
3.139 6.299 3.772
3.139 7.768 1.437
3.139 9.236 3.772
1.046 0.017 2.930
1.046 5.162 2.930
1.046 6.510 0.748
1.046 9.025 0.748
3.139 1.332 3.724
3.139 3.847 3.724
3.139 5.195 1.542
3.139 10.340 1.542

(4)
ZnNi GGA-PBE optimized geometry; symmetry = Pbcm, No. 57; total moment = 0.005 μB/cell
1.0
5.102 0.000 0.000
0.000 4.484 0.000
0.000 0.000 4.219
Zn Ni
4 4
Cartesian
0.725 0.352 1.055
0.725 1.890 3.164
4.377 2.594 1.055
4.377 4.131 3.164
1.910 2.636 1.055
1.910 4.089 3.164
3.192 0.394 1.055
3.192 1.847 3.164

(5)
ZnNi9 GGA-PBE optimized geometry; symmetry = Pmmn, No. 59; total moment = 9.765 μB/cell; distance to the lowest polymorph of the same formula = 5 meV/atom
1.0
2.491 0.000 0.000
0.000 3.472 0.000
0.000 0.000 38.182
Zn Ni
2 18
Cartesian
0.623 0.868 7.263
1.868 2.604 30.918
0.623 0.868 9.815
0.623 0.868 12.305
0.623 0.868 14.778
0.623 0.868 17.247
0.623 0.868 19.705
0.623 0.868 22.165
0.623 0.868 24.640
0.623 0.868 27.137
0.623 0.868 29.670
1.868 2.604 8.512
1.868 2.604 11.045
1.868 2.604 13.542
1.868 2.604 16.017
1.868 2.604 18.477
1.868 2.604 20.935
1.868 2.604 23.404
1.868 2.604 25.877
1.868 2.604 28.367

(6)
ZnNi GGA-PBE optimized geometry; symmetry = Pmm2, No. 25; total moment = 0.006 μB/cell
1.0
4.182 0.000 0.000
0.000 5.173 0.000
0.000 0.000 4.452
Zn Ni
4 4
Cartesian
0.000 0.000 0.000
0.000 1.362 2.152
0.000 3.811 2.152
2.091 0.000 2.917
0.000 2.587 4.381
2.091 1.332 0.685
2.091 2.587 2.962
2.091 3.841 0.685

(7)
ZnNi GGA-PBE optimized geometry; symmetry = Amm2, No. 38; total moment = 0.005 μB/cell
1.0
4.178 0.000 0.000
0.000 3.853 2.237
0.000 -3.853 2.237
Zn Ni
3 3
Cartesian
0.000 0.000 0.000
2.089 -1.326 3.633
2.089 1.326 3.633
0.000 -1.268 2.185
0.000 1.268 2.185
2.089 0.000 1.447

(8)
Zn2Ni GGA-PBE optimized geometry; symmetry = P2_1/m, No. 11; total moment = 0.008 μB/cell
1.0
6.923 0.000 0.000
0.000 4.265 0.000
-1.949 0.000 10.287
Zn Ni
16 8
Cartesian
-0.302 1.066 3.257
0.211 1.066 0.764
-0.659 1.066 5.861
-1.048 1.066 8.429
1.777 3.199 1.057
1.302 3.199 3.561
1.759 1.066 5.004
0.794 1.066 10.151
4.180 3.199 0.136
3.215 3.199 5.283
3.672 1.066 6.726
3.196 1.066 9.230
6.022 3.199 1.858
5.633 3.199 4.426
4.763 3.199 9.523
5.276 3.199 7.030
0.772 3.199 6.168
0.348 3.199 8.697
2.237 1.066 2.443
1.279 1.066 7.550
3.695 3.199 2.737
2.737 3.199 7.844
4.626 1.066 1.590
4.202 1.066 4.119

(9)
ZnNi GGA-PBE optimized geometry; symmetry = P2_1/m, No. 11; total moment = 0.001 μB/cell
1.0
5.198 0.000 0.000
0.000 4.195 0.000
-1.301 0.000 6.594
Zn Ni
6 6
Cartesian
-0.005 1.049 0.706
0.017 3.146 3.683
1.317 1.049 2.893
2.580 3.146 3.701
3.881 1.049 2.912
3.903 3.146 5.889
0.039 1.049 5.132
1.333 3.146 1.457
1.303 3.146 5.893
2.595 1.049 0.701
2.564 1.049 5.138
3.859 3.146 1.462

(10)
ZnNi9 GGA-PBE optimized geometry; symmetry = P4/nmm, No. 129; total moment = 10.196 μB/cell; distance to the lowest polymorph of the same formula = 0 meV/atom
1.0
2.523 0.000 0.000
0.000 2.523 0.000
0.000 0.000 46.722
Zn Ni
2 18
Cartesian
0.631 0.631 7.255
1.892 1.892 39.468
0.631 0.631 10.656
0.631 0.631 14.043
0.631 0.631 17.433
0.631 0.631 20.822
0.631 0.631 24.208
0.631 0.631 27.599
0.631 0.631 30.986
0.631 0.631 34.373
0.631 0.631 37.758
1.892 1.892 8.964
1.892 1.892 12.350
1.892 1.892 15.736
1.892 1.892 19.123
1.892 1.892 22.514
1.892 1.892 25.900
1.892 1.892 29.290
1.892 1.892 32.680
1.892 1.892 36.066

(11)
Zn3Ni GGA-PBE optimized geometry; symmetry = P6_3/mmc, No. 194; total moment = 0.007 μB/cell
1.0
5.320 0.000 0.000
-2.660 4.607 0.000
0.000 0.000 4.283
Zn Ni
6 2
Cartesian
0.000 1.571 1.071
-1.300 3.822 1.071
1.360 0.785 3.212
1.300 3.822 1.071
3.960 0.785 3.212
2.660 3.036 3.212
0.000 3.071 3.212
2.660 1.536 1.071

(12)
ZnNi GGA-PBE optimized geometry; symmetry = Pmc2_1, No. 26; total moment = 0.019 μB/cell
1.0
4.157 0.000 0.000
0.000 7.731 0.000
0.000 0.000 4.493
Zn Ni
6 6
Cartesian
0.000 0.632 0.000
0.000 2.047 2.166
0.000 5.684 4.413
0.000 7.098 2.247
2.078 1.967 3.730
2.078 5.763 1.484
0.000 3.227 4.471
0.000 4.504 2.225
2.078 0.656 1.481
2.078 3.266 1.433
2.078 4.465 3.680
2.078 7.074 3.727

Looking at calculated formation energy for the records above, in order, we have 367; 83; -166; -154; 27; -143; -178; -119; -147; 22; -169; -163 meV/atom.
Looking at total energy for the records above, in order, we have -6.156; -6.440; -3.582; -3.570; -5.110; -3.559; -3.594; -2.819; -3.563; -5.115; -2.510; -3.579 eV per atom.